No. 1
VASP calculation (SCAN) on a PBEsol-optimized structure of KCd2Tc.

Offset from the most stable computed form   61.5 meV per atom
ρ   7.547 g cm⁻³
D(E_F)   1.23 states/eV per cell
DFT formation energy   588 meV/atom
SG   No. 65

Unit cell a=7.426 b=7.478 c=2.868 alpha=90.00 beta=90.00 gamma=90.00
Positions (direct):
K 0.000 0.000 0.000
K 0.500 0.500 0.000
Cd 0.250 0.250 0.500
Cd 0.250 0.750 0.500
Cd 0.750 0.250 0.500
Cd 0.750 0.750 0.500
Tc 0.000 0.500 0.000
Tc 0.500 0.000 0.000



No. 2
VASP calculation (SCAN) on a PBEsol-optimized structure of SrMg3Pt.

ρ   4.498 g cm⁻³
D(E_F)   2.72 states/eV per cell
DFT formation energy   -535 meV/atom
SG   No. 221

Unit cell a=5.083 b=5.083 c=5.083 alpha=90.00 beta=90.00 gamma=90.00
Positions (direct):
Sr 0.000 0.000 0.000
Mg 0.000 0.500 0.500
Mg 0.500 0.000 0.500
Mg 0.500 0.500 0.000
Pt 0.500 0.500 0.500



No. 3
VASP calculation (SCAN) on a PBEsol-optimized structure of TeP2Ir.

ρ   8.800 g cm⁻³
D(E_F)   3.61 states/eV per cell
Formation energy from raw total energies   431 meV/atom
SG   No. 71

Unit cell a=2.893 b=5.035 c=9.891 alpha=90.00 beta=90.00 gamma=90.00
Positions (direct):
Te 0.000 0.000 0.000
Te 0.500 0.500 0.500
P 0.000 0.500 0.197
P 0.000 0.500 0.803
P 0.500 0.000 0.303
P 0.500 0.000 0.697
Ir 0.000 0.000 0.500
Ir 0.500 0.500 0.000



No. 4
VASP calculation (SCAN) on a PBEsol-optimized structure of Rb2Si2Bi.

ρ   4.618 g cm⁻³
D(E_F)   3.01 states/eV per cell
Formation energy from raw total energies   86 meV/atom
SG   No. 127

Unit cell a=7.456 b=7.456 c=5.641 alpha=90.00 beta=90.00 gamma=90.00
Positions (direct):
Rb 0.196 0.304 0.000
Rb 0.304 0.804 0.000
Rb 0.696 0.196 0.000
Rb 0.804 0.696 0.000
Si 0.106 0.606 0.500
Si 0.394 0.106 0.500
Si 0.606 0.894 0.500
Si 0.894 0.394 0.500
Bi 0.000 0.000 0.500
Bi 0.500 0.500 0.500